A plane-wave DFT calculation with GGA-PBE was carried out for crystalline ReOs2 at its relaxed geometry.

crystal system	monoclinic

Cell lengths 9.9772, 2.7597, 6.4967 Å; angles 90.00, 103.70, 90.00 degrees
Last column: nearest neighbours and their distance in Å.
Element x y z (fractional)
Re1 0.1937 0.0000 0.1408  8 Os 2.70-2.77, 4 Re 2.74-2.76
Re2 0.3063 0.5000 0.8592  8 Os 2.70-2.77, 4 Re 2.74-2.76
Re3 0.6937 0.5000 0.1408  8 Os 2.70-2.77, 4 Re 2.74-2.76
Re4 0.8063 0.0000 0.8592  8 Os 2.70-2.77, 4 Re 2.74-2.76
Os1 0.0282 0.5000 0.8055  5 Re 2.70-2.77, 7 Os 2.71-2.76
Os2 0.1385 0.0000 0.5275  3 Re 2.70-2.76, 9 Os 2.70-2.76
Os3 0.3615 0.5000 0.4725  3 Re 2.70-2.76, 9 Os 2.70-2.76
Os4 0.4718 0.0000 0.1945  5 Re 2.70-2.77, 7 Os 2.71-2.76
Os5 0.5282 0.0000 0.8055  5 Re 2.70-2.77, 7 Os 2.71-2.76
Os6 0.6385 0.5000 0.5275  3 Re 2.70-2.76, 9 Os 2.70-2.76
Os7 0.8615 0.0000 0.4725  3 Re 2.70-2.76, 9 Os 2.70-2.76
Os8 0.9718 0.5000 0.1945  5 Re 2.70-2.77, 7 Os 2.71-2.76

A plane-wave DFT calculation with GGA-PBE was carried out for crystalline ReOs2 at its relaxed geometry.

crystal system	monoclinic

Cell lengths 9.9724, 2.7627, 6.4934 Å; angles 90.00, 103.74, 90.00 degrees
Last column: nearest neighbours and their distance in Å.
Element x y z (fractional)
Re1 0.0000 0.0000 0.0000  8 Os 2.70-2.76, 4 Re 2.76-2.78
Re2 0.1685 0.5000 0.3355  8 Os 2.70-2.75, 4 Re 2.76-2.78
Re3 0.5000 0.5000 0.0000  8 Os 2.70-2.76, 4 Re 2.76-2.78
Re4 0.6685 0.0000 0.3355  8 Os 2.70-2.75, 4 Re 2.76-2.78
Os1 0.1124 0.5000 0.7225  3 Re 2.70-2.71, 9 Os 2.71-2.77
Os2 0.2782 0.0000 0.0563  5 Re 2.70-2.71, 7 Os 2.72-2.77
Os3 0.3344 0.0000 0.6670  8 Os 2.71-2.76, 4 Re 2.75-2.76
Os4 0.4455 0.5000 0.3891  4 Re 2.70-2.71, 8 Os 2.71-2.77
Os5 0.6124 0.0000 0.7225  3 Re 2.70-2.71, 9 Os 2.71-2.77
Os6 0.7782 0.5000 0.0563  5 Re 2.70-2.71, 7 Os 2.72-2.77
Os7 0.8344 0.5000 0.6670  8 Os 2.71-2.76, 4 Re 2.75-2.76
Os8 0.9455 0.0000 0.3891  4 Re 2.70-2.71, 8 Os 2.71-2.77

A plane-wave DFT calculation with GGA-PBE was carried out for crystalline ReOs2 at its relaxed geometry.

crystal system	orthorhombic

Cell lengths 2.7640, 14.3740, 4.3748 Å; angles 90.00, 90.00, 90.00 degrees
Last column: nearest neighbours and their distance in Å.
Element x y z (fractional)
Re1 0.0000 0.1115 0.2500  10 Os 2.71-2.78, 2 Re 2.76
Re2 0.0000 0.8885 0.7500  10 Os 2.71-2.78, 2 Re 2.76
Re3 0.5000 0.3885 0.7500  10 Os 2.71-2.78, 2 Re 2.76
Re4 0.5000 0.6115 0.2500  10 Os 2.71-2.78, 2 Re 2.76
Os1 0.0000 0.2223 0.7500  4 Re 2.71-2.76, 8 Os 2.71-2.76
Os2 0.0000 0.4437 0.2500  6 Re 2.71-2.78, 6 Os 2.72-2.76
Os3 0.0000 0.5563 0.7500  6 Re 2.71-2.78, 6 Os 2.72-2.76
Os4 0.0000 0.7777 0.2500  4 Re 2.71-2.76, 8 Os 2.71-2.76
Os5 0.5000 0.0563 0.7500  6 Re 2.71-2.78, 6 Os 2.72-2.76
Os6 0.5000 0.2777 0.2500  4 Re 2.71-2.76, 8 Os 2.71-2.76
Os7 0.5000 0.7223 0.7500  4 Re 2.71-2.76, 8 Os 2.71-2.76
Os8 0.5000 0.9437 0.2500  6 Re 2.71-2.78, 6 Os 2.72-2.76

A plane-wave DFT calculation with GGA-PBE was carried out for crystalline ReOs7 at its relaxed geometry.

crystal system	trigonal

Cell lengths 7.8836, 7.8836, 7.8836 Å; angles 31.91, 31.91, 31.91 degrees
Last column: nearest neighbours and their distance in Å.
Element x y z (fractional)
Re1 0.0000 0.0000 0.0000  8 Os 2.45-2.64
Os1 0.1091 0.1091 0.1091  1 Re 2.45, 4 Os 2.51-2.70
Os2 0.2293 0.2293 0.2293  4 Os 2.51-2.70
Os3 0.3708 0.3708 0.3708  3 Re 2.64, 4 Os 2.90-2.91
Os4 0.5000 0.5000 0.5000  14 Os 2.82-2.90
Os5 0.6292 0.6292 0.6292  3 Re 2.64, 4 Os 2.90-2.91
Os6 0.7707 0.7707 0.7707  4 Os 2.51-2.70
Os7 0.8909 0.8909 0.8909  1 Re 2.45, 4 Os 2.51-2.70

A plane-wave DFT calculation with GGA-PBE was carried out for crystalline ReOs5 at its relaxed geometry.

crystal system	monoclinic

Cell lengths 9.9434, 2.7572, 6.4759 Å; angles 90.00, 103.62, 90.00 degrees
Last column: nearest neighbours and their distance in Å.
Element x y z (fractional)
Re1 0.0000 0.0000 0.0000  10 Os 2.69-2.77, 2 Re 2.76
Re2 0.5000 0.5000 0.0000  10 Os 2.69-2.77, 2 Re 2.76
Os1 0.1106 0.5000 0.7211  10 Os 2.70-2.76, 2 Re 2.70
Os2 0.1670 0.5000 0.3323  10 Os 2.70-2.76, 2 Re 2.76
Os3 0.2771 0.0000 0.0539  3 Re 2.69-2.70, 9 Os 2.70-2.77
Os4 0.3327 0.0000 0.6657  10 Os 2.70-2.76, 2 Re 2.77
Os5 0.4447 0.5000 0.3877  1 Re 2.69, 11 Os 2.70-2.77
Os6 0.6106 0.0000 0.7211  10 Os 2.70-2.76, 2 Re 2.70
Os7 0.6670 0.0000 0.3323  10 Os 2.70-2.76, 2 Re 2.76
Os8 0.7771 0.5000 0.0539  3 Re 2.69-2.70, 9 Os 2.70-2.77
Os9 0.8327 0.5000 0.6657  10 Os 2.70-2.76, 2 Re 2.77
Os10 0.9447 0.0000 0.3877  1 Re 2.69, 11 Os 2.70-2.77

A plane-wave DFT calculation with GGA-PBE was carried out for crystalline ReOs2 at its relaxed geometry.

crystal system	hexagonal

Cell lengths 5.1350, 5.1350, 8.0924 Å; angles 90.00, 90.00, 120.00 degrees
Last column: nearest neighbours and their distance in Å.
Element x y z (fractional)
Re1 0.3333 0.6667 0.0874  1 Re 2.63, 6 Os 2.89
Re2 0.3333 0.6667 0.4126  1 Re 2.63, 6 Os 2.89
Re3 0.6667 0.3333 0.5874  1 Re 2.63, 6 Os 2.89
Re4 0.6667 0.3333 0.9126  1 Re 2.63, 6 Os 2.89
Os1 0.0000 0.0000 0.0000  6 Os 2.55
Os2 0.0000 0.0000 0.5000  6 Os 2.55
Os3 0.1746 0.3492 0.7500  6 Os 2.45-2.69
Os4 0.1746 0.8254 0.7500  6 Os 2.45-2.69
Os5 0.3492 0.1746 0.2500  6 Os 2.45-2.69
Os6 0.6508 0.8254 0.7500  6 Os 2.45-2.69
Os7 0.8254 0.1746 0.2500  6 Os 2.45-2.69
Os8 0.8254 0.6508 0.2500  6 Os 2.45-2.69

Per-record M_tot, μB per cell: 0.00 0.00 0.00 0.00 0.00 0.00
Per-record offset from the most stable computed form, meV per atom: 11.9 8.4 0.0 545.7 16.3 607.8